The following is a DFT calculation (PBE+U) of an optimized crystal structure of LiV3OF11.

Properties
Energy above the lowest structure with this stoichiometry ... 0.0 meV per atom
Electronic total energy ... -184.0 eV for the cell shown

Unit cell a=5.2841 b=5.3846 c=15.4484 alpha=80.80 beta=90.00 gamma=90.00
Sites, in units of the cell vectors:
F1 0.4139 0.1850 0.6128
F2 0.0666 0.0226 0.9482
F3 0.5490 0.6743 0.7115
V1 0.5349 0.5637 0.8262
F4 0.5580 0.3206 0.3869
O1 0.7933 0.3591 0.8513
V2 0.0021 0.0858 0.8266
F5 0.9370 0.1248 0.7144
Li1 0.7394 0.2820 0.9930
F6 0.9139 0.8150 0.3872
V3 0.9858 0.7497 0.5002
V4 0.5021 0.9142 0.1734
F7 0.6762 0.5480 0.5205
F8 0.5666 0.9774 0.0518
F9 0.4493 0.5032 0.9522
F10 0.0490 0.3257 0.2885
O2 0.2933 0.6409 0.1487
F11 0.8025 0.7098 0.1929
V5 0.4858 0.2503 0.4998
Li2 0.2394 0.7180 0.0070
F12 0.9493 0.4968 0.0478
F13 0.4370 0.8752 0.2856
F14 0.3025 0.2902 0.8071
F15 0.7118 0.2145 0.1748
V6 0.0349 0.4363 0.1738
F16 0.7954 0.0479 0.5202
F17 0.2954 0.9521 0.4798
F18 0.7098 0.8671 0.8518
F19 0.1762 0.4520 0.4795
F20 0.2118 0.7855 0.8252
F21 0.2098 0.1329 0.1482
F22 0.0580 0.6794 0.6131